# ZnPt2Br PBE optimized geometry
# symmetry = Imm2, No. 44
# offset from the most stable computed form = 323.0 meV/atom
# density of states at the Fermi level = 0.51 states/eV/atom
# total moment = 0.00 μB per formula unit
data_ZnPt2Br
_space_group_name_H-M_alt 'P 1'
_space_group_IT_number 1
_cell_length_a 2.949
_cell_length_b 4.346
_cell_length_c 11.277
_cell_angle_alpha 90.00
_cell_angle_beta 90.00
_cell_angle_gamma 90.00
loop_
_space_group_symop_operation_xyz
'x,y,z'
loop_
_atom_site_label
_atom_site_type_symbol
_atom_site_fract_x
_atom_site_fract_y
_atom_site_fract_z
Zn1 Zn 0.000 0.000 0.000
Zn2 Zn 0.500 0.500 0.500
Pt1 Pt 0.000 0.000 0.569
Pt2 Pt 0.000 0.500 0.293
Pt3 Pt 0.500 0.000 0.793
Pt4 Pt 0.500 0.500 0.069
Br1 Br 0.000 0.500 0.775
Br2 Br 0.500 0.000 0.275

=====

# Zn2PtBr PBE optimized geometry
# symmetry = P2/m, No. 10
# offset from the most stable computed form = 36.9 meV/atom
# density of states at the Fermi level = 0.22 states/eV/atom
# total moment = 0.00 μB per formula unit
data_Zn2PtBr
_space_group_name_H-M_alt 'P 1'
_space_group_IT_number 1
_cell_length_a 3.424
_cell_length_b 3.084
_cell_length_c 7.230
_cell_angle_alpha 90.00
_cell_angle_beta 90.08
_cell_angle_gamma 90.00
loop_
_space_group_symop_operation_xyz
'x,y,z'
loop_
_atom_site_label
_atom_site_type_symbol
_atom_site_fract_x
_atom_site_fract_y
_atom_site_fract_z
Zn1 Zn 0.001 0.000 0.191
Zn2 Zn 0.999 0.000 0.809
Pt1 Pt 0.500 0.500 0.000
Br1 Br 0.000 0.500 0.500

=====

# ZnPt2Br PBE optimized geometry
# symmetry = R-3m, No. 166
# offset from the most stable computed form = 89.9 meV/atom
# density of states at the Fermi level = 0.18 states/eV/atom
# total moment = 0.00 μB per formula unit
data_ZnPt2Br
_space_group_name_H-M_alt 'P 1'
_space_group_IT_number 1
_cell_length_a 2.849
_cell_length_b 2.849
_cell_length_c 31.426
_cell_angle_alpha 90.00
_cell_angle_beta 90.00
_cell_angle_gamma 120.00
loop_
_space_group_symop_operation_xyz
'x,y,z'
loop_
_atom_site_label
_atom_site_type_symbol
_atom_site_fract_x
_atom_site_fract_y
_atom_site_fract_z
Zn1 Zn 0.000 0.000 0.000
Zn2 Zn 0.333 0.667 0.667
Zn3 Zn 0.667 0.333 0.333
Pt1 Pt 0.000 0.000 0.269
Pt2 Pt 0.000 0.000 0.731
Pt3 Pt 0.333 0.667 0.398
Pt4 Pt 0.333 0.667 0.936
Pt5 Pt 0.667 0.333 0.064
Pt6 Pt 0.667 0.333 0.602
Br1 Br 0.000 0.000 0.500
Br2 Br 0.333 0.667 0.167
Br3 Br 0.667 0.333 0.833

=====

# ZnPtBr2 PBE optimized geometry
# symmetry = R-3m, No. 166
# offset from the most stable computed form = 350.9 meV/atom
# density of states at the Fermi level = 0.88 states/eV/atom
# total moment = 0.00 μB per formula unit
data_ZnPtBr2
_space_group_name_H-M_alt 'P 1'
_space_group_IT_number 1
_cell_length_a 3.764
_cell_length_b 3.764
_cell_length_c 23.792
_cell_angle_alpha 90.00
_cell_angle_beta 90.00
_cell_angle_gamma 120.00
loop_
_space_group_symop_operation_xyz
'x,y,z'
loop_
_atom_site_label
_atom_site_type_symbol
_atom_site_fract_x
_atom_site_fract_y
_atom_site_fract_z
Zn1 Zn 0.000 0.000 0.000
Zn2 Zn 0.333 0.667 0.667
Zn3 Zn 0.667 0.333 0.333
Pt1 Pt 0.000 0.000 0.500
Pt2 Pt 0.333 0.667 0.167
Pt3 Pt 0.667 0.333 0.833
Br1 Br 0.000 0.000 0.399
Br2 Br 0.000 0.000 0.601
Br3 Br 0.333 0.667 0.066
Br4 Br 0.333 0.667 0.268
Br5 Br 0.667 0.333 0.732
Br6 Br 0.667 0.333 0.934

=====

# ZnPt2Br PBE optimized geometry
# symmetry = P4/mmm, No. 123
# offset from the most stable computed form = 177.6 meV/atom
# density of states at the Fermi level = 0.69 states/eV/atom
# total moment = 0.00 μB per formula unit
data_ZnPt2Br
_space_group_name_H-M_alt 'P 1'
_space_group_IT_number 1
_cell_length_a 3.083
_cell_length_b 3.083
_cell_length_c 7.303
_cell_angle_alpha 90.00
_cell_angle_beta 90.00
_cell_angle_gamma 90.00
loop_
_space_group_symop_operation_xyz
'x,y,z'
loop_
_atom_site_label
_atom_site_type_symbol
_atom_site_fract_x
_atom_site_fract_y
_atom_site_fract_z
Zn1 Zn 0.000 0.000 0.000
Pt1 Pt 0.500 0.500 0.200
Pt2 Pt 0.500 0.500 0.800
Br1 Br 0.000 0.000 0.500

=====

# ZnPt2Br PBE optimized geometry
# symmetry = Fm-3m, No. 225
# offset from the most stable computed form = 446.1 meV/atom
# density of states at the Fermi level = 1.39 states/eV/atom
# total moment = 0.00 μB per formula unit
data_ZnPt2Br
_space_group_name_H-M_alt 'P 1'
_space_group_IT_number 1
_cell_length_a 6.464
_cell_length_b 6.464
_cell_length_c 6.464
_cell_angle_alpha 90.00
_cell_angle_beta 90.00
_cell_angle_gamma 90.00
loop_
_space_group_symop_operation_xyz
'x,y,z'
loop_
_atom_site_label
_atom_site_type_symbol
_atom_site_fract_x
_atom_site_fract_y
_atom_site_fract_z
Zn1 Zn 0.000 0.000 0.000
Zn2 Zn 0.000 0.500 0.500
Zn3 Zn 0.500 0.000 0.500
Zn4 Zn 0.500 0.500 0.000
Pt1 Pt 0.250 0.250 0.250
Pt2 Pt 0.250 0.250 0.750
Pt3 Pt 0.250 0.750 0.250
Pt4 Pt 0.250 0.750 0.750
Pt5 Pt 0.750 0.250 0.250
Pt6 Pt 0.750 0.250 0.750
Pt7 Pt 0.750 0.750 0.250
Pt8 Pt 0.750 0.750 0.750
Br1 Br 0.000 0.000 0.500
Br2 Br 0.000 0.500 0.000
Br3 Br 0.500 0.000 0.000
Br4 Br 0.500 0.500 0.500

=====

# ZnPtBr2 PBE optimized geometry
# symmetry = Immm, No. 71
# offset from the most stable computed form = 337.4 meV/atom
# total moment = 0.00 μB per formula unit
data_ZnPtBr2
_space_group_name_H-M_alt 'P 1'
_space_group_IT_number 1
_cell_length_a 3.624
_cell_length_b 7.186
_cell_length_c 9.350
_cell_angle_alpha 90.00
_cell_angle_beta 90.00
_cell_angle_gamma 90.00
loop_
_space_group_symop_operation_xyz
'x,y,z'
loop_
_atom_site_label
_atom_site_type_symbol
_atom_site_fract_x
_atom_site_fract_y
_atom_site_fract_z
Zn1 Zn 0.000 0.000 0.000
Zn2 Zn 0.500 0.500 0.500
Pt1 Pt 0.000 0.000 0.500
Pt2 Pt 0.500 0.500 0.000
Br1 Br 0.000 0.500 0.180
Br2 Br 0.000 0.500 0.820
Br3 Br 0.500 0.000 0.320
Br4 Br 0.500 0.000 0.680

=====

# Zn2PtBr PBE optimized geometry
# symmetry = C2/m, No. 12
# offset from the most stable computed form = 74.3 meV/atom
# density of states at the Fermi level = 0.24 states/eV/atom
# total moment = 0.00 μB per formula unit
data_Zn2PtBr
_space_group_name_H-M_alt 'P 1'
_space_group_IT_number 1
_cell_length_a 7.129
_cell_length_b 4.078
_cell_length_c 7.144
_cell_angle_alpha 90.00
_cell_angle_beta 108.77
_cell_angle_gamma 90.00
loop_
_space_group_symop_operation_xyz
'x,y,z'
loop_
_atom_site_label
_atom_site_type_symbol
_atom_site_fract_x
_atom_site_fract_y
_atom_site_fract_z
Zn1 Zn 0.124 0.000 0.362
Zn2 Zn 0.376 0.500 0.638
Zn3 Zn 0.624 0.500 0.362
Zn4 Zn 0.876 0.000 0.638
Pt1 Pt 0.000 0.500 0.500
Pt2 Pt 0.500 0.000 0.500
Br1 Br 0.000 0.000 0.000
Br2 Br 0.500 0.500 0.000

=====

The formation energy without anion corrections results, record by record, are as follows: 0.25 -0.29 0.02 0.11 0.11 0.37 0.10 -0.25 eV/atom.